This record from Alexandria via LeMat-Bulk describes an optimized crystal structure of LaAsRh. The functional is PBE.

Cell: 4.819 4.819 4.819 Å, 60.00 60.00 60.00°
Atoms (fractional coordinates):
La 0.750 0.750 0.750
As 0.500 0.500 0.500
Rh 0.000 0.000 0.000

Summary:
Crystal system: cubic
DFT formation energy in meV per atom: -110
Mass density in g cm⁻³: 6.65
Total magnetic moment in μB/cell: 0.00